1.
Density functional theory data (PBE) for a relaxed KTe crystal.

a = 6.115 Å, b = 6.115 Å, c = 7.019 Å
α = 90.00°, β = 90.00°, γ = 120.00°
Element x y z (fractional)
K (0.333, 0.667, 0.250)
K (0.667, 0.333, 0.750)
Te (0.333, 0.667, 0.750)
Te (0.667, 0.333, 0.250)

Values from the calculation:
final energy: -9.9 eV for the cell shown
space group: No. 194
calculated volume: 56.818 Å³ per atom
crystal system: hexagonal


2.
Density functional theory data (PBE) for a relaxed KTe3 crystal.

a = 6.473 Å, b = 9.049 Å, c = 5.826 Å
α = 90.00°, β = 90.00°, γ = 90.00°
Element x y z (fractional)
K (0.250, 0.250, 0.044)
K (0.750, 0.750, 0.956)
Te (0.250, 0.009, 0.514)
Te (0.250, 0.491, 0.514)
Te (0.250, 0.750, 0.254)
Te (0.750, 0.250, 0.746)
Te (0.750, 0.509, 0.486)
Te (0.750, 0.991, 0.486)

Values from the calculation:
space group: No. 59
calculated volume: 42.657 Å³ per atom
crystal system: orthorhombic
E above lowest polymorph: 0.023 eV per atom


3.
Density functional theory data (PBE) for a relaxed KTe2 crystal.

a = 5.322 Å, b = 5.322 Å, c = 4.876 Å
α = 90.00°, β = 90.00°, γ = 120.00°
Element x y z (fractional)
K (0.000, 0.000, 0.000)
Te (0.333, 0.667, 0.500)
Te (0.667, 0.333, 0.500)

Values from the calculation:
space group: No. 191
calculated volume: 39.872 Å³ per atom
crystal system: hexagonal
E above lowest polymorph: 0.179 eV per atom


4.
Density functional theory data (PBE) for a relaxed KTe5 crystal.

a = 6.276 Å, b = 6.276 Å, c = 9.141 Å
α = 105.37°, β = 105.37°, γ = 43.39°
Element x y z (fractional)
K (0.000, 0.000, 0.000)
Te (0.274, 0.274, 0.934)
Te (0.358, 0.358, 0.254)
Te (0.609, 0.609, 0.299)
Te (0.712, 0.712, 0.627)
Te (0.940, 0.940, 0.604)

Values from the calculation:
space group: No. 8
calculated volume: 39.516 Å³ per atom
crystal system: monoclinic
E above lowest polymorph: 0.093 eV per atom


| no. | mass density (g/cm³) |
| --- | --- |
| 1 | 2.44 |
| 2 | 4.11 |
| 3 | 4.09 |
| 4 | 4.74 |